This record from the Alexandria database describes crystalline Li4Mg5Sn2 at its relaxed geometry. The functional is GGA-PBE.

Cell lengths 9.8543, 6.0744, 9.6104 Å; angles 90.00, 120.54, 90.00 degrees
With the nearest neighbours (Å) after each atom.
Space group C2/m (No. 12)
Asymmetric unit:
Li 0.0784 0.0000 0.3810 [4 per cell]  3 Sn 2.85-3.04, 4 Mg 3.00-3.05
Li 0.1265 0.5000 0.9448 [4 per cell]  1 Sn 2.87, 4 Mg 3.10-3.12, 1 Li 3.17
Mg 0.0000 0.0000 0.0000 [2 per cell]  4 Mg 3.07, 6 Li 3.34-3.43
Mg 0.2215 0.2495 0.7259 [8 per cell]  5 Li 3.00-3.24, 3 Mg 3.03-3.07, 3 Sn 3.07-3.13
Sn 0.0899 0.5000 0.3978 [4 per cell]  4 Li 2.85-3.04, 6 Mg 3.07-3.13

* calculated formation energy: -0.11 eV per atom
* ρ: 2.59 g/cm3
* D(E_F): 0.43 states/eV/atom

This record from the Alexandria database describes crystalline Li7MgSn4 at its relaxed geometry. The functional is GGA-PBE.

Cell lengths 5.5138, 5.8810, 7.8535 Å; angles 76.83, 89.62, 83.26 degrees
With the nearest neighbours (Å) after each atom.
Space group P-1 (No. 2)
Asymmetric unit:
Li 0.0000 0.0000 0.0000 [1 per cell]  4 Sn 2.75-3.03, 2 Mg 2.76
Li 0.1776 0.3026 0.6132 [2 per cell]  4 Sn 2.92-3.14, 5 Li 3.03-3.16
Li 0.2393 0.5085 0.9289 [2 per cell]  5 Li 2.86-3.20, 4 Sn 2.90-3.19, 1 Mg 3.09
Li 0.3591 0.7997 0.5855 [2 per cell]  5 Sn 2.91-3.00, 5 Li 2.96-3.16
Mg 0.5000 0.0000 0.0000 [1 per cell]  2 Li 2.76, 2 Sn 2.90
Sn 0.1421 0.1501 0.2865 [2 per cell]  6 Li 2.75-3.00, 1 Sn 3.05
Sn 0.3205 0.6280 0.2608 [2 per cell]  1 Mg 2.90, 8 Li 2.90-3.14, 2 Sn 3.05-3.16

* calculated formation energy: -0.29 eV per atom
* excess energy over the best structure of this formula in the dataset: 0 meV per atom
* ρ: 3.69 g/cm3
* D(E_F): 0.33 states/eV/atom

This record from the Alexandria database describes crystalline Li2MgSn at its relaxed geometry. The functional is GGA-PBE.

Cell lengths 6.7907, 6.7907, 6.7907 Å; angles 90.00, 90.00, 90.00 degrees
With the nearest neighbours (Å) after each atom.
Space group F-43m (No. 216)
Asymmetric unit:
Li 0.0000 0.0000 0.0000 [4 per cell]  4 Li 2.94, 4 Sn 2.94
Li 0.2500 0.2500 0.2500 [4 per cell]  4 Li 2.94, 4 Mg 2.94
Mg 0.0000 0.0000 0.5000 [4 per cell]  4 Sn 2.94, 4 Li 2.94
Sn 0.2500 0.2500 0.7500 [4 per cell]  4 Li 2.94, 4 Mg 2.94

* calculated formation energy: -0.34 eV per atom
* ρ: 3.33 g/cm3
* D(E_F): 0.01 states/eV/atom

Which value of D(E_F) does entry 1 give?
0.43 states/eV/atom

Among the records above, which one has the highest D(E_F)?
Li4Mg5Sn2

ρ of number 3 (Li2MgSn)?
3.33 g/cm3

Which formula does entry 2 have?
Li7MgSn4